No. 1
Compound: CaAlFe
Source: Alexandria via LeMat-Bulk
Functional: PBE-GGA
Structure: relaxed

a = 4.4785 Å, b = 4.4785 Å, c = 3.6242 Å
α = 90.00°, β = 90.00°, γ = 120.00°
Closest atoms and distances in Å follow each position.
Fractional positions:
Ca 0.0000 0.0000 0.0000  6 Fe 3.16, 6 Al 3.16
Al 0.3333 0.6667 0.5000  3 Fe 2.59
Fe 0.6667 0.3333 0.5000  3 Al 2.59

Computed properties:
As for the energy of formation from the pure elements: 0.206 eV per atom. The space group is No. 187.

No. 2
Compound: CaAlFe
Source: Alexandria via LeMat-Bulk
Functional: PBE-GGA
Structure: relaxed

a = 4.5419 Å, b = 4.5419 Å, c = 4.5419 Å
α = 60.00°, β = 60.00°, γ = 60.00°
Closest atoms and distances in Å follow each position.
Fractional positions:
Ca 0.0000 0.0000 0.0000  4 Fe 2.78
Al 0.5000 0.5000 0.5000  4 Fe 2.78
Fe 0.2500 0.2500 0.2500  4 Al 2.78, 4 Ca 2.78

Computed properties:
As for the energy of formation from the pure elements: 0.448 eV per atom. The space group is No. 216.

No. 3
Compound: CaAl2Fe
Source: Alexandria via LeMat-Bulk
Functional: PBE-GGA
Structure: relaxed

a = 8.5103 Å, b = 8.5103 Å, c = 8.5103 Å
α = 22.56°, β = 22.56°, γ = 22.56°
Closest atoms and distances in Å follow each position.
Fractional positions:
Ca 0.0000 0.0000 0.0000  6 Al 3.19, 6 Ca 3.33
Al 0.2308 0.2308 0.2308  3 Fe 2.50
Al 0.7692 0.7692 0.7692  3 Fe 2.50
Fe 0.5000 0.5000 0.5000  6 Al 2.50

Computed properties:
As for the energy of formation from the pure elements: 0.172 eV per atom. The space group is No. 166.

No. 4
Compound: CaAl2Fe
Source: Alexandria via LeMat-Bulk
Functional: PBE-GGA
Structure: relaxed

a = 5.3357 Å, b = 5.3357 Å, c = 2.8682 Å
α = 90.00°, β = 90.00°, γ = 115.18°
Closest atoms and distances in Å follow each position.
Fractional positions:
Ca 0.0000 0.0000 0.0000  2 Fe 2.86, 2 Ca 2.87, 8 Al 3.03
Al 0.0000 0.5000 0.5000  4 Al 2.86-2.87, 4 Fe 3.03, 4 Ca 3.03
Al 0.5000 0.0000 0.5000  4 Al 2.86-2.87, 4 Fe 3.03, 4 Ca 3.03
Fe 0.5000 0.5000 0.0000  2 Ca 2.86, 2 Fe 2.87, 8 Al 3.03

Computed properties:
As for the energy of formation from the pure elements: 0.215 eV per atom. The space group is No. 65.

No. 5
Compound: CaAl3Fe2
Source: Alexandria via LeMat-Bulk
Functional: PBE-GGA
Structure: relaxed

a = 6.3902 Å, b = 6.3902 Å, c = 5.1224 Å
α = 90.00°, β = 90.00°, γ = 79.35°
Closest atoms and distances in Å follow each position.
Fractional positions:
Ca 0.1520 0.8480 0.7500  7 Al 3.08-3.31, 4 Fe 3.34
Ca 0.8480 0.1520 0.2500  7 Al 3.08-3.31, 4 Fe 3.34
Al 0.0321 0.5649 0.2500  4 Fe 2.45-2.53, 1 Al 2.72
Al 0.4351 0.9679 0.2500  4 Fe 2.45-2.53, 1 Al 2.72
Al 0.4627 0.5373 0.2500  4 Fe 2.47, 4 Al 2.63-2.72
Al 0.5373 0.4627 0.7500  4 Fe 2.47, 4 Al 2.63-2.72
Al 0.5649 0.0321 0.7500  4 Fe 2.45-2.53, 1 Al 2.72
Al 0.9679 0.4351 0.7500  4 Fe 2.45-2.53, 1 Al 2.72
Fe 0.2870 0.2870 0.0000  6 Al 2.45-2.53, 2 Fe 2.56
Fe 0.2870 0.2870 0.5000  6 Al 2.45-2.53, 2 Fe 2.56
Fe 0.7130 0.7130 0.0000  6 Al 2.45-2.53, 2 Fe 2.56
Fe 0.7130 0.7130 0.5000  6 Al 2.45-2.53, 2 Fe 2.56

Computed properties:
As for the energy of formation from the pure elements: -0.266 eV per atom. The space group is No. 63.

No. 6
Compound: Ca2AlFe
Source: Alexandria via LeMat-Bulk
Functional: PBE-GGA
Structure: relaxed

a = 6.0617 Å, b = 6.0617 Å, c = 5.1552 Å
α = 115.05°, β = 115.05°, γ = 34.78°
Closest atoms and distances in Å follow each position.
Fractional positions:
Ca 0.0000 0.0000 0.0000  4 Fe 3.22, 4 Ca 3.33-3.56, 4 Al 3.39-3.48
Ca 0.2042 0.2042 0.7032  4 Al 3.24, 4 Fe 3.33-3.53, 6 Ca 3.33-3.62
Al 0.7758 0.7758 0.2746  2 Fe 2.45
Fe 0.4350 0.4350 0.4354  2 Al 2.45

Computed properties:
As for the energy of formation from the pure elements: 0.152 eV per atom. The space group is No. 8.

No. 7
Compound: CaAl2Fe
Source: Alexandria via LeMat-Bulk
Functional: PBE-GGA
Structure: relaxed

a = 4.1166 Å, b = 4.1166 Å, c = 4.4000 Å
α = 90.00°, β = 90.00°, γ = 90.00°
Closest atoms and distances in Å follow each position.
Fractional positions:
Ca 0.0000 0.0000 0.0000  4 Fe 2.91, 8 Al 3.01
Al 0.0000 0.5000 0.5000  4 Al 2.91, 4 Fe 3.01, 4 Ca 3.01
Al 0.5000 0.0000 0.5000  4 Al 2.91, 4 Fe 3.01, 4 Ca 3.01
Fe 0.5000 0.5000 0.0000  4 Ca 2.91, 8 Al 3.01

Computed properties:
As for the energy of formation from the pure elements: 0.166 eV per atom. The space group is No. 123.

No. 8
Compound: CaAlFe
Source: Alexandria via LeMat-Bulk
Functional: PBE-GGA
Structure: relaxed

a = 4.3732 Å, b = 4.3732 Å, c = 6.6763 Å
α = 90.00°, β = 90.00°, γ = 90.00°
Closest atoms and distances in Å follow each position.
Fractional positions:
Ca 0.2500 0.2500 0.1816  4 Fe 3.05, 5 Al 3.21-3.26
Ca 0.7500 0.7500 0.8184  4 Fe 3.05, 5 Al 3.21-3.26
Al 0.2500 0.2500 0.6629  4 Fe 2.44
Al 0.7500 0.7500 0.3371  4 Fe 2.44
Fe 0.2500 0.7500 0.5000  4 Al 2.44
Fe 0.7500 0.2500 0.5000  4 Al 2.44

Computed properties:
As for the energy of formation from the pure elements: -0.039 eV per atom. The space group is No. 129.

No. 9
Compound: CaAl2Fe
Source: Alexandria via LeMat-Bulk
Functional: PBE-GGA
Structure: relaxed

a = 5.8512 Å, b = 5.8512 Å, c = 5.8512 Å
α = 41.83°, β = 41.83°, γ = 41.83°
Closest atoms and distances in Å follow each position.
Fractional positions:
Ca 0.0000 0.0000 0.0000  8 Al 3.21, 6 Fe 3.59
Al 0.2008 0.2008 0.2008  3 Fe 2.47, 3 Al 2.65
Al 0.7992 0.7992 0.7992  3 Fe 2.47, 3 Al 2.65
Fe 0.5000 0.5000 0.5000  6 Al 2.47

Computed properties:
As for the energy of formation from the pure elements: -0.099 eV per atom. The space group is No. 166.

No. 10
Compound: CaAlFe2
Source: Alexandria via LeMat-Bulk
Functional: PBE-GGA
Structure: relaxed

a = 4.5403 Å, b = 4.5403 Å, c = 4.5403 Å
α = 60.00°, β = 60.00°, γ = 60.00°
Closest atoms and distances in Å follow each position.
Fractional positions:
Ca 0.0000 0.0000 0.0000  4 Fe 2.78, 4 Al 2.78
Al 0.2500 0.2500 0.2500  4 Fe 2.78, 4 Ca 2.78
Fe 0.5000 0.5000 0.5000  4 Fe 2.78, 4 Al 2.78
Fe 0.7500 0.7500 0.7500  4 Fe 2.78, 4 Ca 2.78

Computed properties:
As for the energy of formation from the pure elements: 0.345 eV per atom. The space group is No. 216.

No. 11
Compound: Ca2AlFe
Source: Alexandria via LeMat-Bulk
Functional: PBE-GGA
Structure: relaxed

a = 10.0651 Å, b = 10.0651 Å, c = 10.0651 Å
α = 19.39°, β = 19.39°, γ = 19.39°
Closest atoms and distances in Å follow each position.
Fractional positions:
Ca 0.2459 0.2459 0.2459  3 Fe 3.06, 3 Al 3.25, 6 Ca 3.39
Ca 0.7541 0.7541 0.7541  3 Fe 3.06, 3 Al 3.25, 6 Ca 3.39
Al 0.0000 0.0000 0.0000  6 Ca 3.25, 6 Al 3.39
Fe 0.5000 0.5000 0.5000  6 Ca 3.06, 6 Fe 3.39

Computed properties:
As for the energy of formation from the pure elements: 0.448 eV per atom. The space group is No. 166.

No. 12
Compound: CaAl2Fe
Source: Alexandria via LeMat-Bulk
Functional: PBE-GGA
Structure: relaxed

a = 5.8691 Å, b = 5.8691 Å, c = 5.8691 Å
α = 42.19°, β = 42.19°, γ = 42.19°
Closest atoms and distances in Å follow each position.
Fractional positions:
Ca 0.0000 0.0000 0.0000  1 Fe 2.95, 7 Al 3.13-3.30
Al 0.5282 0.5282 0.5282  3 Fe 2.45, 3 Al 2.60
Al 0.8046 0.8046 0.8046  3 Fe 2.55, 3 Al 2.60
Fe 0.1840 0.1840 0.1840  6 Al 2.45-2.55

Computed properties:
As for the energy of formation from the pure elements: -0.079 eV per atom. The space group is No. 160.